Computed, not measured: a relaxed ScHg2Se crystal at the PBE-GGA level of DFT.

```
ScHg2Se
1.0
6.191 0.000 0.000
0.000 3.992 0.004
0.000 0.013 3.988
Se Hg Sc
1 2 1
Cartesian
3.095 3.004 2.994
0.000 0.005 0.005
0.000 1.998 1.991
3.095 1.001 0.998
```

## Properties
E (eV for the cell shown): -12.3
DOS(E_F) (states/eV/atom): 0.643
M_tot (Bohr magnetons per cell): 0.0
SG: Cmmm, No. 65
ΔE_f (raw) (eV/atom): -0.477